No. 1
Material: Mn
Method: DFT, PBE
State: relaxed

Computed properties:
* crystal system: cubic
* space group: Im-3m

a b c (Å): 5.2641 5.2641 5.2641
angles (deg): 109.47 109.47 109.47
Closest atoms and distances in Å follow each position.
Element x y z (fractional)
Mn  0.2500  0.5000  0.7500  4 Mn 2.15
Mn  0.2500  0.7500  0.5000  4 Mn 2.15
Mn  0.5000  0.2500  0.7500  4 Mn 2.15
Mn  0.5000  0.7500  0.2500  4 Mn 2.15
Mn  0.7500  0.2500  0.5000  4 Mn 2.15
Mn  0.7500  0.5000  0.2500  4 Mn 2.15


No. 2
Material: Mn
Method: DFT, PBE
State: relaxed

Computed properties:
* crystal system: tetragonal
* space group: P4/nmm

a b c (Å): 2.8325 2.8325 2.7149
angles (deg): 90.00 90.00 90.00
Closest atoms and distances in Å follow each position.
Element x y z (fractional)
Mn  0.2500  0.2500  0.2163  8 Mn 2.32-2.53
Mn  0.7500  0.7500  0.7837  8 Mn 2.32-2.53


No. 3
Material: Mn
Method: DFT, PBE
State: relaxed

Computed properties:
* crystal system: hexagonal
* space group: P6_3/m

a b c (Å): 6.5301 6.5301 3.7981
angles (deg): 90.00 90.00 120.00
Closest atoms and distances in Å follow each position.
Element x y z (fractional)
Mn  0.0600  0.8171  0.2500  11 Mn 2.38-2.66
Mn  0.1055  0.6022  0.7500  8 Mn 2.30-2.55
Mn  0.1829  0.2429  0.2500  11 Mn 2.38-2.66
Mn  0.2429  0.0600  0.7500  11 Mn 2.38-2.66
Mn  0.3978  0.5034  0.7500  8 Mn 2.30-2.55
Mn  0.4966  0.8945  0.7500  8 Mn 2.30-2.55
Mn  0.5034  0.1055  0.2500  8 Mn 2.30-2.55
Mn  0.6022  0.4966  0.2500  8 Mn 2.30-2.55
Mn  0.7571  0.9400  0.2500  11 Mn 2.38-2.66
Mn  0.8171  0.7571  0.7500  11 Mn 2.38-2.66
Mn  0.8945  0.3978  0.2500  8 Mn 2.30-2.55
Mn  0.9400  0.1829  0.7500  11 Mn 2.38-2.66


no.,E_form (eV/atom),energy (eV per atom)
1,1.7433,-7.43
2,0.1686,-9.00
3,0.3478,-8.82